# LiHg2Cl

A crystal of LiHg2Cl relaxed with PBEsol (SCAN, the Alexandria database).

Cell lengths 3.979, 3.979, 6.108 Å; angles 90.00, 90.00, 90.00 degrees
Sites, in units of the cell vectors:
Cl1 0.000 0.000 0.500
Li1 0.500 0.500 0.500
Hg1 0.000 0.500 0.000
Hg2 0.500 0.000 0.000

Values from the calculation:
E_form (uncorrected), eV/atom: -0.734

# ScTlTe2

A crystal of ScTlTe2 relaxed with PBEsol (SCAN, the Alexandria database).

Cell lengths 3.788, 5.261, 5.261 Å; angles 90.00, 90.00, 90.00 degrees
Sites, in units of the cell vectors:
Te1 0.000 0.500 0.000
Tl1 0.500 0.500 0.500
Te2 0.000 0.000 0.500
Sc1 0.500 0.000 0.000

Values from the calculation:
E_form (uncorrected), eV/atom: -0.433

# AlRu2Se2

A crystal of AlRu2Se2 relaxed with PBEsol (SCAN, the Alexandria database).

Cell lengths 4.004, 4.004, 6.671 Å; angles 107.46, 107.46, 90.00 degrees
Sites, in units of the cell vectors:
Se1 0.640 0.640 0.279
Ru1 0.250 0.750 0.500
Se2 0.360 0.360 0.721
Al1 0.000 0.000 0.000
Ru2 0.750 0.250 0.500

Values from the calculation:
E_form (uncorrected), eV/atom: 0.104

# LiCuPO4

A crystal of LiCuPO4 relaxed with PBEsol (SCAN, the Alexandria database).

Cell lengths 4.772, 7.482, 8.843 Å; angles 90.00, 90.00, 90.00 degrees
Sites, in units of the cell vectors:
O1 0.242 0.757 0.655
O2 0.186 0.283 0.192
O3 0.658 0.051 0.934
O4 0.742 0.743 0.155
Li1 0.981 0.036 0.631
O5 0.158 0.949 0.066
P1 0.556 0.228 0.852
Li2 0.981 0.536 0.869
Li3 0.481 0.964 0.369
O6 0.209 0.134 0.458
P2 0.056 0.772 0.148
O7 0.709 0.366 0.958
O8 0.742 0.243 0.345
Li4 0.481 0.464 0.131
O9 0.686 0.717 0.808
Cu1 0.961 0.669 0.460
P3 0.056 0.272 0.352
Cu2 0.461 0.831 0.960
O10 0.658 0.551 0.566
Cu3 0.961 0.169 0.040
O11 0.158 0.449 0.434
O12 0.242 0.257 0.845
Cu4 0.461 0.331 0.540
P4 0.556 0.728 0.648
O13 0.209 0.634 0.042
O14 0.186 0.783 0.308
O15 0.709 0.866 0.542
O16 0.686 0.217 0.692

Values from the calculation:
E_form (uncorrected), eV/atom: -1.982